Entry 1
## CaHgCl2 (GGA-PBE)

Data for a geometry-optimized CaHgCl2 structure.

Unit cell a=3.5049 b=3.5040 c=10.0802 alpha=90.00 beta=90.27 gamma=90.00
Space group P2/m (No. 10)
Symmetry-distinct sites (fractional):
Ca  0.0000  0.0000  0.0000 (multiplicity 1)
Hg  0.0000  0.0000  0.5000 (multiplicity 1)
Cl  0.4991  0.5000  0.8458 (multiplicity 2)

## Properties
* V: 123.8 Å³ per cell
* size of the total moment: 0.00 μB per cell
* N(E_F): 0.054 states/eV per atom

***

Entry 2
## CaHgCl2 (GGA-PBE)

Data for a geometry-optimized CaHgCl2 structure.

Unit cell a=8.1619 b=8.1619 c=11.1184 alpha=90.00 beta=90.00 gamma=90.00
Space group I-42d (No. 122)
Symmetry-distinct sites (fractional):
Ca  0.0000  0.0000  0.0000 (multiplicity 4)
Hg  0.0000  0.0000  0.5000 (multiplicity 4)
Cl  0.1084  0.2500  0.1250 (multiplicity 8)

## Properties
* V: 740.7 Å³ per cell
* size of the total moment: 0.00 μB per cell
* N(E_F): 0.000 states/eV per atom

***

Of them, entry 2 has the highest stability.

***

Entry 1
## CaHgCl2 (GGA-PBE)

Data for a geometry-optimized CaHgCl2 structure.

Unit cell a=3.6749 b=3.9822 c=19.2170 alpha=90.00 beta=90.00 gamma=90.00
Space group Imm2 (No. 44)
Symmetry-distinct sites (fractional):
Ca  0.0000  0.0000  0.0000 (multiplicity 2)
Hg  0.0000  0.5000  0.7415 (multiplicity 2)
Cl  0.0000  0.0000  0.5560 (multiplicity 2)
Cl  0.0000  0.5000  0.4035 (multiplicity 2)

## Properties
* V: 281.2 Å³ per cell
* size of the total moment: 0.00 μB per cell
* N(E_F): 0.000 states/eV per atom

***

Entry 2
## CaHgCl2 (GGA-PBE)

Data for a geometry-optimized CaHgCl2 structure.

Unit cell a=7.3804 b=7.3804 c=7.3804 alpha=90.00 beta=90.00 gamma=90.00
Space group F-43m (No. 216)
Symmetry-distinct sites (fractional):
Ca  0.0000  0.0000  0.0000 (multiplicity 4)
Hg  0.2500  0.2500  0.7500 (multiplicity 4)
Cl  0.0000  0.0000  0.5000 (multiplicity 4)
Cl  0.2500  0.2500  0.2500 (multiplicity 4)

## Properties
* V: 402.0 Å³ per cell
* size of the total moment: 0.00 μB per cell
* N(E_F): 0.000 states/eV per atom

***

Of them, entry 1 has the highest stability.

***

Entry 1
## CaHgCl2 (GGA-PBE)

Data for a geometry-optimized CaHgCl2 structure.

Unit cell a=4.3985 b=4.9175 c=14.2218 alpha=90.00 beta=90.00 gamma=90.00
Space group Amm2 (No. 38)
Symmetry-distinct sites (fractional):
Ca  0.0000  0.0000  0.0000 (multiplicity 2)
Hg  0.5000  0.0000  0.8011 (multiplicity 2)
Cl  0.0000  0.0000  0.4306 (multiplicity 2)
Cl  0.5000  0.0000  0.1045 (multiplicity 2)

## Properties
* V: 307.6 Å³ per cell
* size of the total moment: 0.00 μB per cell
* N(E_F): 0.000 states/eV per atom

***

Entry 2
## CaHgCl2 (GGA-PBE)

Data for a geometry-optimized CaHgCl2 structure.

Unit cell a=3.9539 b=6.8920 c=10.0594 alpha=90.00 beta=90.00 gamma=90.00
Space group Immm (No. 71)
Symmetry-distinct sites (fractional):
Ca  0.0000  0.0000  0.0000 (multiplicity 2)
Hg  0.0000  0.0000  0.5000 (multiplicity 2)
Cl  0.0000  0.5000  0.3220 (multiplicity 4)

## Properties
* V: 274.1 Å³ per cell
* size of the total moment: 0.00 μB per cell
* N(E_F): 0.000 states/eV per atom

***

Of them, entry 1 has the highest stability.

***

Entry 1
## CaHgCl2 (GGA-PBE)

Data for a geometry-optimized CaHgCl2 structure.

Unit cell a=7.3876 b=7.3876 c=7.3876 alpha=90.00 beta=90.00 gamma=90.00
Space group Fm-3m (No. 225)
Symmetry-distinct sites (fractional):
Ca  0.0000  0.0000  0.0000 (multiplicity 4)
Hg  0.0000  0.0000  0.5000 (multiplicity 4)
Cl  0.2500  0.2500  0.2500 (multiplicity 8)

## Properties
* V: 403.2 Å³ per cell
* size of the total moment: 0.00 μB per cell
* N(E_F): 0.000 states/eV per atom

***

Entry 2
## CaHgCl2 (GGA-PBE)

Data for a geometry-optimized CaHgCl2 structure.

Unit cell a=7.1196 b=4.1096 c=10.1621 alpha=90.00 beta=103.01 gamma=90.00
Space group Cm (No. 8)
Symmetry-distinct sites (fractional):
Ca  0.0000  0.0000  0.0000 (multiplicity 2)
Hg  0.1672  0.0000  0.4994 (multiplicity 2)
Cl  0.1209  0.5000  0.8574 (multiplicity 2)
Cl  0.3790  0.0000  0.1424 (multiplicity 2)

## Properties
* V: 289.7 Å³ per cell
* size of the total moment: 0.00 μB per cell
* N(E_F): 0.000 states/eV per atom

***

Of them, entry 2 has the highest stability.

***

Entry 1
## CaHgCl2 (GGA-PBE)

Data for a geometry-optimized CaHgCl2 structure.

Unit cell a=4.1023 b=4.1023 c=22.0244 alpha=90.00 beta=90.00 gamma=120.00
Space group P6_3/mmc (No. 194)
Symmetry-distinct sites (fractional):
Ca  0.0000  0.0000  0.0000 (multiplicity 2)
Hg  0.3333  0.6667  0.2500 (multiplicity 2)
Cl  0.3333  0.6667  0.0643 (multiplicity 4)

## Properties
* V: 321.0 Å³ per cell
* size of the total moment: 0.00 μB per cell
* N(E_F): 0.000 states/eV per atom

***

Entry 2
## CaHgCl2 (GGA-PBE)

Data for a geometry-optimized CaHgCl2 structure.

Unit cell a=4.4546 b=4.4546 c=10.0930 alpha=90.00 beta=90.00 gamma=90.00
Space group I-4m2 (No. 119)
Symmetry-distinct sites (fractional):
Ca  0.0000  0.0000  0.0000 (multiplicity 2)
Hg  0.0000  0.5000  0.2500 (multiplicity 2)
Cl  0.0000  0.0000  0.5000 (multiplicity 2)
Cl  0.0000  0.5000  0.7500 (multiplicity 2)

## Properties
* V: 200.3 Å³ per cell
* size of the total moment: 0.00 μB per cell

***

Entry 3
## CaHgCl2 (GGA-PBE)

Data for a geometry-optimized CaHgCl2 structure.

Unit cell a=6.9833 b=6.9836 c=4.1308 alpha=90.00 beta=90.21 gamma=90.00
Space group C2/m (No. 12)
Symmetry-distinct sites (fractional):
Ca  0.0000  0.0000  0.0000 (multiplicity 2)
Hg  0.0000  0.5000  0.0000 (multiplicity 2)
Cl  0.2500  0.2500  0.5000 (multiplicity 4)

## Properties
* V: 201.5 Å³ per cell
* size of the total moment: 0.00 μB per cell

***

Of them, entry 1 has the highest stability.

***

Entry 1
## CaHgCl2 (GGA-PBE)

Data for a geometry-optimized CaHgCl2 structure.

Unit cell a=3.9801 b=3.9801 c=9.2104 alpha=90.00 beta=90.00 gamma=90.00
Space group P4mm (No. 99)
Symmetry-distinct sites (fractional):
Ca  0.0000  0.0000  0.0000 (multiplicity 1)
Hg  0.5000  0.5000  0.5308 (multiplicity 1)
Cl  0.0000  0.0000  0.2607 (multiplicity 1)
Cl  0.5000  0.5000  0.9399 (multiplicity 1)

## Properties
* V: 145.9 Å³ per cell
* size of the total moment: 0.00 μB per cell

***

Entry 2
## CaHgCl2 (GGA-PBE)

Data for a geometry-optimized CaHgCl2 structure.

Unit cell a=4.1031 b=4.1031 c=32.9889 alpha=90.00 beta=90.00 gamma=120.00
Space group R-3m (No. 166, hexagonal axes)
Symmetry-distinct sites (fractional):
Ca  0.0000  0.0000  0.0000 (multiplicity 3)
Hg  0.0000  0.0000  0.5000 (multiplicity 3)
Cl  0.0000  0.0000  0.3762 (multiplicity 6)

## Properties
* V: 481.0 Å³ per cell
* size of the total moment: 0.00 μB per cell
* N(E_F): 0.000 states/eV per atom

***

Of them, entry 2 has the highest stability.

***

Entry 1
## CaHg2Cl6 (GGA-PBE)

Data for a geometry-optimized CaHg2Cl6 structure.

Unit cell a=4.1282 b=6.9433 c=9.9472 alpha=79.14 beta=87.35 gamma=83.26
Space group P-1 (No. 2)
Symmetry-distinct sites (fractional):
Ca  0.0000  0.0000  0.0000 (multiplicity 1)
Hg  0.3678  0.4212  0.3167 (multiplicity 2)
Cl  0.0223  0.3870  0.8389 (multiplicity 2)
Cl  0.2353  0.7378  0.5233 (multiplicity 2)
Cl  0.4603  0.1086  0.1494 (multiplicity 2)

## Properties
* V: 278.0 Å³ per cell
* size of the total moment: 0.00 μB per cell
* N(E_F): 0.000 states/eV per atom

***

Entry 2
## CaHg2Cl6 (GGA-PBE)

Data for a geometry-optimized CaHg2Cl6 structure.

Unit cell a=13.4147 b=4.1478 c=10.4910 alpha=90.00 beta=90.65 gamma=90.00
Space group C2/m (No. 12)
Symmetry-distinct sites (fractional):
Ca  0.0000  0.0000  0.0000 (multiplicity 2)
Hg  0.2378  0.5000  0.7208 (multiplicity 4)
Cl  0.0816  0.0000  0.2415 (multiplicity 4)
Cl  0.1280  0.5000  0.9361 (multiplicity 4)
Cl  0.1621  0.0000  0.6156 (multiplicity 4)

## Properties
* V: 583.7 Å³ per cell
* size of the total moment: 0.00 μB per cell
* N(E_F): 0.000 states/eV per atom

***

Of them, entry 1 has the highest stability.

***

Entry 1
## CaHgPCl2 (GGA-PBE)

Data for a geometry-optimized CaHgPCl2 structure.

Unit cell a=5.2377 b=5.2377 c=6.1060 alpha=90.00 beta=90.00 gamma=90.00
Space group P4/mmm (No. 123)
Symmetry-distinct sites (fractional):
Ca  0.0000  0.0000  0.0000 (multiplicity 1)
Hg  0.5000  0.5000  0.5000 (multiplicity 1)
P  0.0000  0.0000  0.5000 (multiplicity 1)
Cl  0.0000  0.5000  0.0000 (multiplicity 2)

## Properties
* V: 167.5 Å³ per cell
* size of the total moment: 2.12 μB per cell
* N(E_F): 0.321 states/eV per atom

***

Entry 2
## CaHgPCl2 (GGA-PBE)

Data for a geometry-optimized CaHgPCl2 structure.

Unit cell a=5.3551 b=5.3551 c=5.0170 alpha=90.00 beta=90.00 gamma=90.00
Space group P4/mmm (No. 123)
Symmetry-distinct sites (fractional):
Ca  0.0000  0.0000  0.0000 (multiplicity 1)
Hg  0.5000  0.5000  0.5000 (multiplicity 1)
P  0.5000  0.5000  0.0000 (multiplicity 1)
Cl  0.0000  0.5000  0.5000 (multiplicity 2)

## Properties
* V: 143.9 Å³ per cell
* size of the total moment: 0.89 μB per cell
* N(E_F): 0.803 states/eV per atom

***

Of them, entry 1 has the highest stability.

***

Entry 1
## CaHgS2Cl (GGA-PBE)

Data for a geometry-optimized CaHgS2Cl structure.

Unit cell a=4.9859 b=4.9859 c=5.3331 alpha=90.00 beta=90.00 gamma=90.00
Space group P4/mmm (No. 123)
Symmetry-distinct sites (fractional):
Ca  0.0000  0.0000  0.0000 (multiplicity 1)
Hg  0.5000  0.5000  0.5000 (multiplicity 1)
S  0.0000  0.5000  0.5000 (multiplicity 2)
Cl  0.5000  0.5000  0.0000 (multiplicity 1)

## Properties
* V: 132.6 Å³ per cell
* size of the total moment: 0.00 μB per cell
* N(E_F): 0.564 states/eV per atom

***

Entry 2
## CaHgS2Cl (GGA-PBE)

Data for a geometry-optimized CaHgS2Cl structure.

Unit cell a=5.5646 b=5.5646 c=5.2775 alpha=90.00 beta=90.00 gamma=90.00
Space group P4/mmm (No. 123)
Symmetry-distinct sites (fractional):
Ca  0.0000  0.0000  0.0000 (multiplicity 1)
Hg  0.5000  0.5000  0.5000 (multiplicity 1)
S  0.0000  0.5000  0.0000 (multiplicity 2)
Cl  0.0000  0.0000  0.5000 (multiplicity 1)

## Properties
* V: 163.4 Å³ per cell
* size of the total moment: 2.96 μB per cell
* N(E_F): 0.792 states/eV per atom

***

Of them, entry 1 has the highest stability.

***

Entry 1
## CaI3Cl (GGA-PBE)

Data for a geometry-optimized CaI3Cl structure.

Unit cell a=6.1164 b=6.1164 c=6.1164 alpha=90.00 beta=90.00 gamma=90.00
Space group Pm-3m (No. 221)
Symmetry-distinct sites (fractional):
Ca  0.0000  0.0000  0.0000 (multiplicity 1)
I  0.0000  0.0000  0.5000 (multiplicity 3)
Cl  0.5000  0.5000  0.5000 (multiplicity 1)

## Properties
* V: 228.8 Å³ per cell
* size of the total moment: 2.00 μB per cell
* N(E_F): 1.792 states/eV per atom

***

Entry 2
## CaI3Cl (GGA-PBE)

Data for a geometry-optimized CaI3Cl structure.

Unit cell a=5.8228 b=5.8228 c=5.8228 alpha=90.00 beta=90.00 gamma=90.00
Space group Pm-3m (No. 221)
Symmetry-distinct sites (fractional):
Ca  0.0000  0.0000  0.0000 (multiplicity 1)
I  0.0000  0.5000  0.5000 (multiplicity 3)
Cl  0.5000  0.5000  0.5000 (multiplicity 1)

## Properties
* V: 197.4 Å³ per cell
* size of the total moment: 0.00 μB per cell
* N(E_F): 0.450 states/eV per atom

***

Of them, entry 1 has the highest stability.

***

Entry 1
## CaICl2 (GGA-PBE)

Data for a geometry-optimized CaICl2 structure.

Unit cell a=4.2044 b=7.0920 c=11.3951 alpha=79.52 beta=89.17 gamma=89.94
Space group P1 (No. 1)
Symmetry-distinct sites (fractional):
Ca  0.0000  0.0000  0.0000 (multiplicity 1)
Ca  0.4994  0.4989  0.0019 (multiplicity 1)
I  0.1406  0.4295  0.4941 (multiplicity 1)
I  0.3599  0.0706  0.5075 (multiplicity 1)
Cl  0.0041  0.6997  0.8766 (multiplicity 1)
Cl  0.4954  0.7992  0.1253 (multiplicity 1)
Cl  0.5047  0.2015  0.8764 (multiplicity 1)
Cl  0.9948  0.2974  0.1256 (multiplicity 1)

## Properties
* V: 334.1 Å³ per cell
* size of the total moment: 0.00 μB per cell

***

Entry 2
## CaICl2 (GGA-PBE)

Data for a geometry-optimized CaICl2 structure.

Unit cell a=3.9019 b=3.9019 c=36.7059 alpha=90.00 beta=90.00 gamma=120.00
Space group R-3m (No. 166, hexagonal axes)
Symmetry-distinct sites (fractional):
Ca  0.0000  0.0000  0.0000 (multiplicity 3)
I  0.0000  0.0000  0.5000 (multiplicity 3)
Cl  0.0000  0.0000  0.3747 (multiplicity 6)

## Properties
* V: 484.0 Å³ per cell
* size of the total moment: 0.00 μB per cell
* N(E_F): 0.702 states/eV per atom

***

Of them, entry 1 has the highest stability.

***

Entry 1
## CaICl2 (GGA-PBE)

Data for a geometry-optimized CaICl2 structure.

Unit cell a=7.5940 b=7.5940 c=7.5940 alpha=90.00 beta=90.00 gamma=90.00
Space group Fm-3m (No. 225)
Symmetry-distinct sites (fractional):
Ca  0.0000  0.0000  0.0000 (multiplicity 4)
I  0.0000  0.0000  0.5000 (multiplicity 4)
Cl  0.2500  0.2500  0.2500 (multiplicity 8)

## Properties
* V: 437.9 Å³ per cell
* size of the total moment: 4.00 μB per cell
* N(E_F): 1.186 states/eV per atom

***

Entry 2
## CaICl2 (GGA-PBE)

Data for a geometry-optimized CaICl2 structure.

Unit cell a=8.2222 b=8.2222 c=10.4555 alpha=90.00 beta=90.00 gamma=90.00
Space group I-42d (No. 122)
Symmetry-distinct sites (fractional):
Ca  0.0000  0.0000  0.0000 (multiplicity 4)
I  0.0000  0.0000  0.5000 (multiplicity 4)
Cl  0.1180  0.7500  0.1250 (multiplicity 8)

## Properties
* V: 706.8 Å³ per cell
* size of the total moment: 4.00 μB per cell
* N(E_F): 1.843 states/eV per atom

***

Of them, entry 2 has the highest stability.

***

Entry 1
## CaIrI2Cl (GGA-PBE)

Data for a geometry-optimized CaIrI2Cl structure.

Unit cell a=5.2267 b=5.2267 c=5.9137 alpha=90.00 beta=90.00 gamma=90.00
Space group P4/mmm (No. 123)
Symmetry-distinct sites (fractional):
Ca  0.0000  0.0000  0.0000 (multiplicity 1)
Ir  0.0000  0.0000  0.5000 (multiplicity 1)
I  0.0000  0.5000  0.5000 (multiplicity 2)
Cl  0.5000  0.5000  0.0000 (multiplicity 1)

## Properties
* V: 161.5 Å³ per cell
* size of the total moment: 0.00 μB per cell
* N(E_F): 1.112 states/eV per atom

***

Entry 2
## CaIrI2Cl (GGA-PBE)

Data for a geometry-optimized CaIrI2Cl structure.

Unit cell a=5.4601 b=5.4601 c=4.8805 alpha=90.00 beta=90.00 gamma=90.00
Space group P4/mmm (No. 123)
Symmetry-distinct sites (fractional):
Ca  0.0000  0.0000  0.0000 (multiplicity 1)
Ir  0.5000  0.5000  0.5000 (multiplicity 1)
I  0.0000  0.5000  0.5000 (multiplicity 2)
Cl  0.5000  0.5000  0.0000 (multiplicity 1)

## Properties
* V: 145.5 Å³ per cell
* size of the total moment: 0.00 μB per cell
* N(E_F): 0.294 states/eV per atom

***

Of them, entry 2 has the highest stability.

***

Entry 1
## CaI2NCl (GGA-PBE)

Data for a geometry-optimized CaI2NCl structure.

Unit cell a=6.1788 b=6.1788 c=4.7413 alpha=90.00 beta=90.00 gamma=90.00
Space group P4/mmm (No. 123)
Symmetry-distinct sites (fractional):
Ca  0.0000  0.0000  0.0000 (multiplicity 1)
I  0.0000  0.5000  0.0000 (multiplicity 2)
N  0.0000  0.0000  0.5000 (multiplicity 1)
Cl  0.5000  0.5000  0.5000 (multiplicity 1)

## Properties
* V: 181.0 Å³ per cell
* size of the total moment: 4.05 μB per cell
* N(E_F): 0.940 states/eV per atom

***

Entry 2
## CaI2NCl (GGA-PBE)

Data for a geometry-optimized CaI2NCl structure.

Unit cell a=6.4884 b=6.4884 c=5.0534 alpha=90.00 beta=90.00 gamma=90.00
Space group P4/mmm (No. 123)
Symmetry-distinct sites (fractional):
Ca  0.0000  0.0000  0.0000 (multiplicity 1)
I  0.0000  0.5000  0.5000 (multiplicity 2)
N  0.5000  0.5000  0.0000 (multiplicity 1)
Cl  0.0000  0.0000  0.5000 (multiplicity 1)

## Properties
* V: 212.7 Å³ per cell
* size of the total moment: 3.34 μB per cell
* N(E_F): 0.776 states/eV per atom

***

Of them, entry 1 has the highest stability.